# 1
Material: LiAlW2
Method: DFT, PBE
State: optimized geometry

a b c (Å): 3.7430 3.7430 4.3068
angles (deg): 90.00 90.00 90.00
Atoms (fractional coordinates):
Li1 0.0000 0.0000 0.0000
Al1 0.5000 0.5000 0.0000
W1 0.0000 0.5000 0.5000
W2 0.5000 0.0000 0.5000

D(E_F), states/eV/atom: 0.51
ρ, g cm⁻³: 11.05
Energy, eV/atom: -7.66
Total moment, μB per formula unit: 0.0
Energy relative to the elements, eV per atom: 0.226

# 2
Material: LiAlW2
Method: DFT, PBE
State: optimized geometry

a b c (Å): 3.2659 3.2659 5.9190
angles (deg): 90.00 90.00 90.00
Atoms (fractional coordinates):
Li1 0.0000 0.0000 0.0000
Al1 0.5000 0.5000 0.7751
W1 0.0000 0.0000 0.4867
W2 0.5000 0.5000 0.2806

D(E_F), states/eV/atom: 0.95
ρ, g cm⁻³: 10.56
Energy, eV/atom: -7.67
Total moment, μB per formula unit: 0.0
Energy relative to the elements, eV per atom: 0.219

# 3
Material: LiAlW2
Method: DFT, PBE
State: optimized geometry

a b c (Å): 2.6689 4.2947 5.2991
angles (deg): 90.00 90.00 90.00
Atoms (fractional coordinates):
Li1 0.0000 0.0000 0.0000
Al1 0.0000 0.0000 0.5000
W1 0.5000 0.5000 0.2514
W2 0.5000 0.5000 0.7486

D(E_F), states/eV/atom: 0.43
ρ, g cm⁻³: 10.98
Energy, eV/atom: -7.64
Total moment, μB per formula unit: 0.0
Energy relative to the elements, eV per atom: 0.255